[1]
NaCaTl4: optimized geometry, PBE-GGA.

a b c (Å): 5.462 5.337 6.587
angles (deg): 65.91 90.00 89.98
Fractional positions:
Tl 0.001 0.170 0.161
Tl 0.501 0.673 0.155
Tl 0.001 0.834 0.830
Tl 0.501 0.331 0.836
Na 0.001 0.502 0.496
Ca 0.501 0.002 0.495

Computed properties:
The symmetry is P2/m, No. 10. The calculation puts the energy of formation from the pure elements at -0.20 eV/atom. As for the energy above the most stable polymorph in this dataset: 0.000 eV/f.u. The value obtained for the spin magnetization is 0.00 μB per cell. The value obtained for the energy is -0.171 Ry per atom.

[2]
NaCa2Tl: optimized geometry, PBE-GGA.

a b c (Å): 4.043 5.617 5.617
angles (deg): 90.00 90.00 90.00
Fractional positions:
Ca 0.000 0.500 0.000
Ca 0.000 0.000 0.500
Tl 0.500 0.500 0.500
Na 0.500 0.000 0.000

Computed properties:
The symmetry is P4/mmm, No. 123. The calculation puts the energy of formation from the pure elements at -0.18 eV/atom. As for the energy above the most stable polymorph in this dataset: 0.222 eV/f.u. The value obtained for the spin magnetization is 0.00 μB per cell. The value obtained for the energy is -0.154 Ry per atom.